# 1
VASP calculation (PBE-GGA) on CrTc2Ni after structural relaxation.

Summary:
The formation energy comes out at 9 kJ per mole of atoms.

Unit cell a=5.9283 b=4.5416 c=2.6560 alpha=90.05 beta=63.30 gamma=121.42
Fractional positions:
Cr (0.0000, 0.5000, 0.5000)
Tc (0.0000, 0.0000, 0.0000)
Tc (0.5000, 0.0000, 0.5000)
Ni (0.5000, 0.5000, 0.0000)



# 2
VASP calculation (PBE-GGA) on RbNiBi2 after structural relaxation.

Summary:
The formation energy comes out at -12 kJ per mole of atoms.

Unit cell a=4.2379 b=4.2379 c=8.5414 alpha=75.64 beta=75.64 gamma=60.00
Fractional positions:
Rb (0.4983, 0.4983, 0.5051)
Ni (0.6676, 0.6676, 0.9972)
Bi (0.2862, 0.2862, 0.1414)
Bi (0.0479, 0.0479, 0.8564)



# 3
VASP calculation (PBE-GGA) on Ac3Dy3PuTe8 after structural relaxation.

Summary:
Its uncorrected formation energy is -1.384 eV per atom.

Unit cell a=8.9563 b=8.9561 c=9.1477 alpha=119.31 beta=90.00 gamma=120.00
Site moments in Bohr magnetons follow the coordinates.
Fractional positions:
Ac (0.5000, 0.5000, 0.0000)  0.02
Ac (0.0000, 0.0000, 0.0000)  0.02
Ac (0.0000, 0.5000, 0.0000)  0.02
Pu (0.0000, 0.0000, 0.5000)  5.54
Te (0.2688, 0.0172, 0.2656)  -0.02
Te (0.2516, 0.9828, 0.7344)  -0.02
Te (0.7484, 0.0172, 0.2656)  -0.02
Te (0.7312, 0.9828, 0.7344)  -0.02
Te (0.2516, 0.5032, 0.7344)  -0.02
Te (0.7415, 0.4829, 0.7243)  0.00
Te (0.2585, 0.5171, 0.2757)  0.00
Te (0.7484, 0.4968, 0.2656)  -0.02
Dy (0.5000, 0.0000, 0.5000)  0.04
Dy (0.0000, 0.5000, 0.5000)  0.04
Dy (0.5000, 0.5000, 0.5000)  0.04



# 4
VASP calculation (PBE-GGA) on CaPaH3 after structural relaxation.

Summary:
The final energy comes out at -4.39 eV per atom.

Unit cell a=4.2274 b=4.2274 c=4.2274 alpha=90.00 beta=90.00 gamma=90.00
Fractional positions:
H (0.5000, 0.0000, 0.0000)
H (0.0000, 0.5000, 0.0000)
H (0.0000, 0.0000, 0.5000)
Ca (0.5000, 0.5000, 0.5000)
Pa (0.0000, 0.0000, 0.0000)



In the order shown, the computed magnetic moment values come out to 0.00; 0.00; 0.41; 0.00 μB per atom.